[1]
DFT (PBE-GGA) results for crystalline TbSmC2Cl2 at its relaxed geometry.

Raw total energy, hartree per atom: -0.2383
Crystal system: monoclinic
Space-group type: Cm, No. 8

Cell lengths 3.9909, 3.9909, 10.7731 Å; angles 94.59, 94.59, 56.83 degrees
Last column: nearest neighbours and their distance in Å.
Fractional positions:
1 Sm 0.8551 0.8551 0.3595  3 C 2.38-2.65
2 C 0.4274 0.4274 0.5386  1 C 1.33
3 C 0.5742 0.5742 0.4683  1 C 1.33
4 Cl 0.1770 0.1770 0.1964  3 Sm 2.80-2.99
5 Cl 0.8202 0.8202 0.7976  3 Tb 2.76-2.97
6 Tb 0.1462 0.1462 0.6396  3 C 2.34-2.62

[2]
DFT (PBE-GGA) results for crystalline MgAg at its relaxed geometry.

Raw total energy, hartree per atom: -0.0842
Crystal system: orthorhombic
Space-group type: Pmmn, No. 59

Cell lengths 10.0596, 3.0977, 4.8293 Å; angles 90.00, 90.00, 90.00 degrees
Last column: nearest neighbours and their distance in Å.
Fractional positions:
1 Mg 0.0048 0.0000 0.0000  2 Ag 2.85, 8 Mg 3.02-3.10
2 Mg 0.7196 0.5000 0.0000  6 Ag 2.81-2.90, 4 Mg 3.09-3.10
3 Mg 0.1970 0.0000 0.5000  6 Ag 2.81-2.90, 4 Mg 3.09-3.10
4 Mg 0.9118 0.5000 0.5000  2 Ag 2.85, 8 Mg 3.02-3.10
5 Ag 0.4302 0.5000 0.5000  2 Mg 2.81, 10 Ag 2.90-3.10
6 Ag 0.4864 0.0000 0.0000  2 Mg 2.81, 10 Ag 2.90-3.10
7 Ag 0.6744 0.0000 0.5000  6 Mg 2.85-2.90, 6 Ag 2.90-3.10
8 Ag 0.2423 0.5000 0.0000  6 Mg 2.85-2.90, 6 Ag 2.90-3.10